# HoTlCd | the Alexandria database | PBE-GGA | relaxed
# energy = -2.865 eV per atom
# magnetic moment = 0.000 μB per atom
data_HoTlCd
_chemical_formula_sum 'Ho2 Tl2 Cd2'
_cell_length_a 6.116
_cell_length_b 6.116
_cell_length_c 7.068
_cell_angle_alpha 124.88
_cell_angle_beta 124.88
_cell_angle_gamma 47.87
_space_group_name_H-M_alt 'P 1'
_space_group_IT_number 1
loop_
_space_group_symop_operation_xyz
'x,y,z'
loop_
_atom_site_label
_atom_site_type_symbol
_atom_site_fract_x
_atom_site_fract_y
_atom_site_fract_z
Ho1 Ho 0.007 0.007 0.258
Ho2 Ho 0.993 0.993 0.742
Tl1 Tl 0.329 0.329 0.349
Tl2 Tl 0.671 0.671 0.651
Cd1 Cd 0.339 0.339 0.872
Cd2 Cd 0.661 0.661 0.128

***

# RbZr2BMo | the Alexandria database | PBE-GGA | relaxed
# energy = -5.818 eV per atom
# magnetic moment = 0.673 μB per atom
data_RbZr2BMo
_chemical_formula_sum 'Rb1 Zr2 B1 Mo1'
_cell_length_a 4.659
_cell_length_b 4.659
_cell_length_c 5.612
_cell_angle_alpha 90.00
_cell_angle_beta 90.00
_cell_angle_gamma 90.00
_space_group_name_H-M_alt 'P 1'
_space_group_IT_number 1
loop_
_space_group_symop_operation_xyz
'x,y,z'
loop_
_atom_site_label
_atom_site_type_symbol
_atom_site_fract_x
_atom_site_fract_y
_atom_site_fract_z
Rb1 Rb 0.000 0.000 0.000
Zr1 Zr 0.000 0.500 0.500
Zr2 Zr 0.500 0.000 0.500
B1 B 0.000 0.000 0.500
Mo1 Mo 0.500 0.500 0.000

***

# Al2IrW | the Alexandria database | PBE-GGA | relaxed
# energy above the most stable polymorph in this dataset = 0.102 eV/atom
# energy = -7.607 eV per atom
# magnetic moment = 0.003 μB per atom
data_Al2IrW
_chemical_formula_sum 'Al2 Ir1 W1'
_cell_length_a 4.065
_cell_length_b 4.065
_cell_length_c 3.562
_cell_angle_alpha 90.00
_cell_angle_beta 90.00
_cell_angle_gamma 90.00
_space_group_name_H-M_alt 'P 1'
_space_group_IT_number 1
loop_
_space_group_symop_operation_xyz
'x,y,z'
loop_
_atom_site_label
_atom_site_type_symbol
_atom_site_fract_x
_atom_site_fract_y
_atom_site_fract_z
Al1 Al 0.000 0.500 0.000
Al2 Al 0.500 0.000 0.000
Ir1 Ir 0.000 0.000 0.500
W1 W 0.500 0.500 0.500

***

# LaY2Sb2 | the Alexandria database | PBE-GGA | relaxed
# energy above the most stable polymorph in this dataset = 0.378 eV/atom
# energy = -5.805 eV per atom
# raw formation energy = -585 meV per atom
# magnetic moment = 0.507 μB per atom
data_LaY2Sb2
_chemical_formula_sum 'La1 Y2 Sb2'
_cell_length_a 6.510
_cell_length_b 6.510
_cell_length_c 6.510
_cell_angle_alpha 127.64
_cell_angle_beta 127.64
_cell_angle_gamma 77.21
_space_group_name_H-M_alt 'P 1'
_space_group_IT_number 1
loop_
_space_group_symop_operation_xyz
'x,y,z'
loop_
_atom_site_label
_atom_site_type_symbol
_atom_site_fract_x
_atom_site_fract_y
_atom_site_fract_z
La1 La 0.000 0.000 0.000
Y1 Y 0.336 0.336 0.000
Y2 Y 0.664 0.664 0.000
Sb1 Sb 0.250 0.750 0.500
Sb2 Sb 0.750 0.250 0.500

***

# Ru2Pb | the Alexandria database | PBE-GGA | relaxed
# energy above the most stable polymorph in this dataset = 0.087 eV/atom
# energy = -6.923 eV per atom
# magnetic moment = 0.000 μB per atom
data_Ru2Pb
_chemical_formula_sum 'Ru4 Pb2'
_cell_length_a 5.755
_cell_length_b 5.755
_cell_length_c 6.834
_cell_angle_alpha 110.19
_cell_angle_beta 110.19
_cell_angle_gamma 29.82
_space_group_name_H-M_alt 'P 1'
_space_group_IT_number 1
loop_
_space_group_symop_operation_xyz
'x,y,z'
loop_
_atom_site_label
_atom_site_type_symbol
_atom_site_fract_x
_atom_site_fract_y
_atom_site_fract_z
Ru1 Ru 0.160 0.160 0.019
Ru2 Ru 0.212 0.212 0.645
Ru3 Ru 0.788 0.788 0.355
Ru4 Ru 0.840 0.840 0.981
Pb1 Pb 0.472 0.472 0.713
Pb2 Pb 0.528 0.528 0.287

***

# PmSm2TaO8 | the Alexandria database | PBE-GGA | relaxed
# energy = -8.318 eV per atom
# raw formation energy = -2842 meV per atom
# magnetic moment = 0.165 μB per atom
data_PmSm2TaO8
_chemical_formula_sum 'Pm1 Sm2 Ta1 O8'
_cell_length_a 3.815
_cell_length_b 5.555
_cell_length_c 7.538
_cell_angle_alpha 90.00
_cell_angle_beta 90.06
_cell_angle_gamma 90.00
_space_group_name_H-M_alt 'P 1'
_space_group_IT_number 1
loop_
_space_group_symop_operation_xyz
'x,y,z'
loop_
_atom_site_label
_atom_site_type_symbol
_atom_site_fract_x
_atom_site_fract_y
_atom_site_fract_z
Pm1 Pm 0.000 0.000 0.000
Sm1 Sm 0.500 0.500 0.250
Sm2 Sm 0.500 0.500 0.750
Ta1 Ta 0.000 0.000 0.500
O1 O 0.000 0.234 0.288
O2 O 0.000 0.234 0.712
O3 O 0.000 0.766 0.288
O4 O 0.000 0.766 0.712
O5 O 0.500 0.207 0.500
O6 O 0.500 0.256 0.000
O7 O 0.500 0.744 0.000
O8 O 0.500 0.793 0.500

***

# Mn3Si | the Alexandria database | PBE-GGA | relaxed
# energy = -8.387 eV per atom
# raw formation energy = -154 meV per atom
# magnetic moment = 1.144 μB per atom
data_Mn3Si
_chemical_formula_sum 'Mn3 Si1'
_cell_length_a 4.201
_cell_length_b 4.201
_cell_length_c 2.675
_cell_angle_alpha 90.00
_cell_angle_beta 90.00
_cell_angle_gamma 104.46
_space_group_name_H-M_alt 'P 1'
_space_group_IT_number 1
loop_
_space_group_symop_operation_xyz
'x,y,z'
loop_
_atom_site_label
_atom_site_type_symbol
_atom_site_fract_x
_atom_site_fract_y
_atom_site_fract_z
Mn1 Mn 0.000 0.000 0.000
Mn2 Mn 0.000 0.500 0.500
Mn3 Mn 0.500 0.000 0.500
Si1 Si 0.500 0.500 0.000

***

# GdSn | the Alexandria database | PBE-GGA | relaxed
# energy = -9.649 eV per atom
# magnetic moment = 3.648 μB per atom
data_GdSn
_chemical_formula_sum 'Gd1 Sn1'
_cell_length_a 3.816
_cell_length_b 3.816
_cell_length_c 3.816
_cell_angle_alpha 90.00
_cell_angle_beta 90.00
_cell_angle_gamma 90.00
_space_group_name_H-M_alt 'P 1'
_space_group_IT_number 1
loop_
_space_group_symop_operation_xyz
'x,y,z'
loop_
_atom_site_label
_atom_site_type_symbol
_atom_site_fract_x
_atom_site_fract_y
_atom_site_fract_z
Gd1 Gd 0.000 0.000 0.000
Sn1 Sn 0.500 0.500 0.500

***

# La4PbAu | the Alexandria database | PBE-GGA | relaxed
# energy above the most stable polymorph in this dataset = 0.551 eV/atom
# energy = -4.383 eV per atom
# magnetic moment = 0.000 μB per atom
data_La4PbAu
_chemical_formula_sum 'La4 Pb1 Au1'
_cell_length_a 6.441
_cell_length_b 6.441
_cell_length_c 6.441
_cell_angle_alpha 60.00
_cell_angle_beta 60.00
_cell_angle_gamma 60.00
_space_group_name_H-M_alt 'P 1'
_space_group_IT_number 1
loop_
_space_group_symop_operation_xyz
'x,y,z'
loop_
_atom_site_label
_atom_site_type_symbol
_atom_site_fract_x
_atom_site_fract_y
_atom_site_fract_z
La1 La 0.123 0.123 0.123
La2 La 0.123 0.123 0.630
La3 La 0.123 0.630 0.123
La4 La 0.630 0.123 0.123
Pb1 Pb 0.750 0.750 0.750
Au1 Au 0.500 0.500 0.500

***

# ErTmHg3 | the Alexandria database | PBE-GGA | relaxed
# energy = -1.912 eV per atom
# magnetic moment = 0.000 μB per atom
data_ErTmHg3
_chemical_formula_sum 'Er2 Tm2 Hg6'
_cell_length_a 11.387
_cell_length_b 11.387
_cell_length_c 11.387
_cell_angle_alpha 151.16
_cell_angle_beta 151.16
_cell_angle_gamma 41.24
_space_group_name_H-M_alt 'P 1'
_space_group_IT_number 1
loop_
_space_group_symop_operation_xyz
'x,y,z'
loop_
_atom_site_label
_atom_site_type_symbol
_atom_site_fract_x
_atom_site_fract_y
_atom_site_fract_z
Er1 Er 0.000 0.000 0.000
Er2 Er 0.750 0.250 0.500
Tm1 Tm 0.415 0.415 0.000
Tm2 Tm 0.585 0.585 0.000
Hg1 Hg 0.036 0.536 0.500
Hg2 Hg 0.374 0.128 0.246
Hg3 Hg 0.464 0.964 0.500
Hg4 Hg 0.872 0.117 0.246
Hg5 Hg 0.872 0.626 0.754
Hg6 Hg 0.883 0.128 0.754

***

# YZrInAu | the Alexandria database | PBE-GGA | relaxed
# energy = -5.680 eV per atom
# magnetic moment = 0.250 μB per atom
data_YZrInAu
_chemical_formula_sum 'Y1 Zr1 In1 Au1'
_cell_length_a 5.086
_cell_length_b 5.086
_cell_length_c 5.086
_cell_angle_alpha 60.00
_cell_angle_beta 60.00
_cell_angle_gamma 60.00
_space_group_name_H-M_alt 'P 1'
_space_group_IT_number 1
loop_
_space_group_symop_operation_xyz
'x,y,z'
loop_
_atom_site_label
_atom_site_type_symbol
_atom_site_fract_x
_atom_site_fract_y
_atom_site_fract_z
Y1 Y 0.000 0.000 0.000
Zr1 Zr 0.500 0.500 0.500
In1 In 0.250 0.250 0.250
Au1 Au 0.750 0.750 0.750

***

# Cs3RuO | the Alexandria database | PBE-GGA | relaxed
# energy above the most stable polymorph in this dataset = 0.000 eV/atom
# energy = -2.949 eV per atom
# raw formation energy = 409 meV per atom
# magnetic moment = 0.524 μB per atom
data_Cs3RuO
_chemical_formula_sum 'Cs3 Ru1 O1'
_cell_length_a 5.931
_cell_length_b 5.931
_cell_length_c 5.931
_cell_angle_alpha 90.00
_cell_angle_beta 90.00
_cell_angle_gamma 90.00
_space_group_name_H-M_alt 'P 1'
_space_group_IT_number 1
loop_
_space_group_symop_operation_xyz
'x,y,z'
loop_
_atom_site_label
_atom_site_type_symbol
_atom_site_fract_x
_atom_site_fract_y
_atom_site_fract_z
Cs1 Cs 0.000 0.000 0.500
Cs2 Cs 0.000 0.500 0.000
Cs3 Cs 0.500 0.000 0.000
Ru1 Ru 0.500 0.500 0.500
O1 O 0.000 0.000 0.000

***

magnetic moment of number 9 (La4PbAu)?
0.000 μB per atom

***

Which of these has the lowest energy?
GdSn